Record 1
First-principles (PBE-GGA) data for an optimized crystal structure of SmAlZnAu2, as listed in Alexandria via LeMat-Bulk.

Lattice parameters (Å, degrees): 6.7255 6.7255 6.7255 144.41 144.41 51.21
Fractional positions:
1 Sm 0.0000 0.0000 0.0000
2 Al 0.2500 0.7500 0.5000
3 Zn 0.7500 0.2500 0.5000
4 Au 0.3857 0.3857 0.0000
5 Au 0.6143 0.6143 0.0000

Calculated values
- formation energy (eV/atom) = -0.611
- volume (Å³ per atom) = 20.49

Record 2
First-principles (PBE-GGA) data for an optimized crystal structure of SmAl3ZnAu, as listed in Alexandria via LeMat-Bulk.

Lattice parameters (Å, degrees): 7.0789 7.0789 5.8917 90.00 90.00 125.30
Fractional positions:
1 Sm 0.2061 0.7939 0.7500
2 Sm 0.7939 0.2061 0.2500
3 Al 0.2036 0.2036 0.0000
4 Al 0.2036 0.2036 0.5000
5 Al 0.3605 0.6395 0.2500
6 Al 0.6395 0.3605 0.7500
7 Al 0.7964 0.7964 0.0000
8 Al 0.7964 0.7964 0.5000
9 Zn 0.4269 0.5731 0.7500
10 Zn 0.5731 0.4269 0.2500
11 Au 0.1509 0.8491 0.2500
12 Au 0.8491 0.1509 0.7500

Calculated values
- formation energy (eV/atom) = -0.214
- volume (Å³ per atom) = 20.08

Record 3
First-principles (PBE-GGA) data for an optimized crystal structure of SmAlZnAu6, as listed in Alexandria via LeMat-Bulk.

Lattice parameters (Å, degrees): 7.9852 7.9852 7.9852 124.45 110.50 94.83
Fractional positions:
1 Sm 0.4647 0.2147 0.2500
2 Sm 0.5353 0.7853 0.7500
3 Al 0.0000 0.0000 0.0000
4 Al 0.5000 0.0000 0.5000
5 Zn 0.0000 0.0000 0.5000
6 Zn 0.0000 0.5000 0.0000
7 Au 0.1428 0.4282 0.3160
8 Au 0.1428 0.8268 0.7146
9 Au 0.1628 0.9128 0.2500
10 Au 0.2309 0.4809 0.7500
11 Au 0.3878 0.1732 0.8160
12 Au 0.3878 0.5718 0.2146
13 Au 0.6122 0.4282 0.7854
14 Au 0.6122 0.8268 0.1840
15 Au 0.7691 0.5191 0.2500
16 Au 0.8372 0.0872 0.7500
17 Au 0.8572 0.1732 0.2854
18 Au 0.8572 0.5718 0.6840

Calculated values
- formation energy (eV/atom) = -0.310
- volume (Å³ per atom) = 20.34